# PrDyMo2O8 (GGA+U, relaxed)
# Total DFT energy (no corrections) in eV per atom: -7.694
data_PrDyMo2O8
_chemical_formula_sum 'Pr1 Dy1 Mo2 O8'
_cell_length_a 5.3306
_cell_length_b 5.3306
_cell_length_c 6.8032
_cell_angle_alpha 113.06
_cell_angle_beta 113.06
_cell_angle_gamma 90.00
_symmetry_space_group_name_H-M 'P 1'
_symmetry_Int_Tables_number 1
_symmetry_space_group_name_Hall 'P 1'
loop_
_atom_site_label
_atom_site_type_symbol
_atom_site_fract_x
_atom_site_fract_y
_atom_site_fract_z
Pr1 Pr 0.7500 0.2500 0.5000
Dy1 Dy 0.0000 0.0000 0.0000
Mo1 Mo 0.5000 0.5000 0.0000
Mo2 Mo 0.2500 0.7500 0.5000
O1 O 0.7748 0.8501 0.1764
O2 O 0.4016 0.3263 0.1764
O3 O 0.5703 0.6710 0.6748
O4 O 0.1044 0.0038 0.6748
O5 O 0.9962 0.4297 0.3252
O6 O 0.3290 0.8956 0.3252
O7 O 0.1499 0.5984 0.8236
O8 O 0.6737 0.2252 0.8236